## LiAgBr2 (PBE)

Data for a relaxed structure of LiAgBr2.

Unit cell a=3.784 b=4.299 c=6.963 alpha=96.51 beta=90.00 gamma=90.00
Fractional coordinates of all 4 atoms:
Br  0.000  0.015  0.011
Br  0.000  0.485  0.489
Ag  0.500  0.750  0.750
Li  0.500  0.250  0.250

Results
The calculation puts the calculated volume at 112.54 Å³/f.u. As for the space-group type: P2/m, No. 10. The raw formation energy comes out at -77 kJ/mol of atoms. The energy above the most stable polymorph in this dataset comes out at 55 kJ/mol of formula units.